Here is a relaxed structure of MnGaF2 from Alexandria. Energies are from PBE with a Hubbard U.

Unit cell a=3.1762 b=3.1762 c=22.9818 alpha=90.00 beta=90.00 gamma=120.00
Closest atoms and distances in Å follow each position.
Positions (direct):
Mn: 0.0000 0.0000 0.0000  2 F 1.91
Mn: 0.3333 0.6667 0.6667  2 F 1.91
Mn: 0.6667 0.3333 0.3333  2 F 1.91
Ga: 0.0000 0.0000 0.5000  6 F 2.66
Ga: 0.3333 0.6667 0.1667  6 F 2.66
Ga: 0.6667 0.3333 0.8333  6 F 2.66
F: 0.0000 0.0000 0.0830  1 Mn 1.91
F: 0.0000 0.0000 0.9170  1 Mn 1.91
F: 0.3333 0.6667 0.5836  1 Mn 1.91
F: 0.3333 0.6667 0.7497  1 Mn 1.91
F: 0.6667 0.3333 0.2503  1 Mn 1.91
F: 0.6667 0.3333 0.4164  1 Mn 1.91

Values from the calculation:
Density = 4.0 Mg/m³
SG = No. 166
Electronic total energy = -59.1 eV for the cell shown